Compound: VP2I
Source: Alexandria via LeMat-Bulk
Functional: PBE
Structure: optimized geometry

a = 4.5842 Å, b = 4.5842 Å, c = 4.5842 Å
α = 60.00°, β = 60.00°, γ = 60.00°
Fractional coordinates of all 4 atoms:
V 0.0000 0.0000 0.0000
P 0.2500 0.2500 0.2500
P 0.7500 0.7500 0.7500
I 0.5000 0.5000 0.5000

Values from the calculation:
Total moment: 0.3 μB per cell
Formation energy (no corrections): 0.915 eV/atom
Calculated volume: 68 Å³/cell

---

Compound: VPI3
Source: Alexandria via LeMat-Bulk
Functional: PBE
Structure: optimized geometry

a = 5.5562 Å, b = 5.5562 Å, c = 5.5562 Å
α = 90.00°, β = 90.00°, γ = 90.00°
Fractional coordinates of all 5 atoms:
V 0.0000 0.0000 0.0000
P 0.5000 0.5000 0.5000
I 0.0000 0.0000 0.5000
I 0.0000 0.5000 0.0000
I 0.5000 0.0000 0.0000

Values from the calculation:
Total moment: 5.0 μB per cell
Formation energy (no corrections): 0.506 eV/atom
Calculated volume: 172 Å³/cell

---

Compound: VPI2
Source: Alexandria via LeMat-Bulk
Functional: PBE
Structure: optimized geometry

a = 7.5960 Å, b = 7.5960 Å, c = 7.5960 Å
α = 95.28°, β = 95.28°, γ = 144.70°
Fractional coordinates of all 8 atoms:
V 0.0000 0.0000 0.0000
V 0.7500 0.2500 0.5000
P 0.2500 0.7500 0.5000
P 0.5000 0.5000 0.0000
I 0.3750 0.0318 0.1568
I 0.7818 0.6250 0.6568
I 0.8750 0.2182 0.8432
I 0.9682 0.1250 0.3432

Values from the calculation:
Total moment: 3.8 μB per cell
Formation energy (no corrections): 0.047 eV/atom
Calculated volume: 241 Å³/cell

---

Compound: VZnP2I
Source: Alexandria via LeMat-Bulk
Functional: PBE
Structure: optimized geometry

a = 4.4630 Å, b = 4.4630 Å, c = 5.8663 Å
α = 90.00°, β = 90.00°, γ = 90.00°
Fractional coordinates of all 5 atoms:
V 0.0000 0.0000 0.0000
Zn 0.5000 0.5000 0.5000
P 0.0000 0.5000 0.0000
P 0.5000 0.0000 0.0000
I 0.0000 0.0000 0.5000

Values from the calculation:
Total moment: 0.0 μB per cell
Formation energy (no corrections): 0.288 eV/atom
Calculated volume: 117 Å³/cell